1.
{"formula": "Mg2FeAg", "functional": "PBE", "state": "relaxed", "ef_ev_per_atom": 0.153, "e_tot_ev_per_cell": -13.9, "lattice": [[-1.842, 1.314, -1.983], [1.805, -0.860, -2.247], [-4.033, -6.682, -0.682]], "species": ["Ag", "Fe", "Mg", "Mg"], "fractional_positions": [[0.000, 0.000, 0.519], [0.500, 0.500, 0.742], [0.000, 0.000, 0.967], [0.500, 0.500, 0.273]]}

2.
{"formula": "TiReSiTc", "functional": "PBE", "state": "relaxed", "e_tot_ev_per_cell": -37.8, "lattice": [[4.302, 0.000, 0.000], [2.151, 3.726, 0.000], [2.151, 1.242, 3.513]], "species": ["Re", "Si", "Tc", "Ti"], "fractional_positions": [[0.000, 0.000, 0.000], [0.750, 0.750, 0.750], [0.500, 0.500, 0.500], [0.250, 0.250, 0.250]]}